Compound: MnCd2Pb
Source: Alexandria
Functional: PBE
Structure: relaxed

Geometry as POSCAR:
```
MnCd2Pb
1.0
5.0670 -0.0687 -0.0282
3.9646 3.1560 -0.0282
1.0692 0.3655 5.6886
Mn Cd Pb
1 2 1
direct
0.4952 0.4952 0.5208 Mn
0.0067 0.0067 0.9570 Cd
0.7544 0.7544 0.7440 Cd
0.2437 0.2437 0.2782 Pb
```

Output
Electronic total energy, eV/atom: -3.397
Energy of formation, eV per atom: 0.280

***

Compound: Sm2PaSb
Source: Alexandria
Functional: PBE
Structure: relaxed

Geometry as POSCAR:
```
Sm2PaSb
1.0
4.5660 0.0000 0.0000
0.0000 4.8870 0.0000
0.0000 0.0000 4.8870
Sm Sb Pa
2 1 1
direct
0.0000 0.5000 0.0000 Sm
0.0000 0.0000 0.5000 Sm
0.5000 0.0000 0.0000 Sb
0.5000 0.5000 0.5000 Pa
```

Output
Energy relative to the elements, uncorrected, eV per atom: -0.295
Electronic total energy, eV/atom: -6.060

***

Compound: CsU4Au3Se12
Source: Alexandria
Functional: PBE
Structure: relaxed

Geometry as POSCAR:
```
CsU4Au3Se12
1.0
-6.2206 5.3655 3.6577
1.5154 -6.9860 5.4556
7.6326 4.6124 -1.1546
U Se Au Cs
4 12 3 1
direct
0.5000 0.5000 0.5000 U
0.5000 0.0000 0.0000 U
0.0000 0.0000 0.5000 U
0.0000 0.5000 0.0000 U
0.1765 0.8636 0.6871 Se
0.1765 0.4894 0.3129 Se
0.6871 0.1765 0.8636 Se
0.5106 0.6871 0.8235 Se
0.3129 0.1765 0.4894 Se
0.8235 0.5106 0.6871 Se
0.3129 0.8235 0.1364 Se
0.8235 0.1364 0.3129 Se
0.4894 0.3129 0.1765 Se
0.8636 0.6871 0.1765 Se
0.1364 0.3129 0.8235 Se
0.6871 0.8235 0.5106 Se
0.0000 0.5000 0.5000 Au
0.5000 0.5000 0.0000 Au
0.5000 0.0000 0.5000 Au
0.0000 0.0000 0.0000 Cs
```

Output
Energy relative to the elements, uncorrected, eV per atom: -0.709
Electronic total energy, eV/atom: -5.592

***

Compound: LiSi2Cl
Source: Alexandria
Functional: PBE
Structure: relaxed

Geometry as POSCAR:
```
LiSi2Cl
1.0
3.8279 0.0000 0.0000
-1.9140 3.3154 0.0000
-0.0118 -0.0262 13.1617
Si Li Cl
4 2 2
direct
0.7877 0.2603 0.1456 Si
0.4569 0.5965 0.3842 Si
0.4548 0.5941 0.2035 Si
0.1240 0.9304 0.4518 Si
0.1170 0.9230 0.8403 Li
0.4584 0.5980 0.5880 Li
0.4503 0.5895 0.7652 Cl
0.7860 0.2585 0.9791 Cl
```

Output
E above lowest polymorph, meV per atom: 0
Energy relative to the elements, uncorrected, eV per atom: -0.672
Electronic total energy, eV/atom: -4.324

***

Compound: K2BaIn9
Source: Alexandria
Functional: PBE
Structure: relaxed

Geometry as POSCAR:
```
K2BaIn9
1.0
6.1768 0.0000 1.8383
2.8148 5.4981 1.8383
0.0700 0.0428 11.0610
Ba In K
1 9 2
direct
0.0000 0.0000 0.0000 Ba
0.3360 0.3360 0.9921 In
0.5865 0.0769 0.7500 In
0.5865 0.5865 0.7500 In
0.0769 0.5865 0.7500 In
0.4135 0.4135 0.2500 In
0.4135 0.9231 0.2500 In
0.6640 0.6640 0.0079 In
0.5000 0.5000 0.5000 In
0.9231 0.4135 0.2500 In
0.8568 0.8568 0.4295 K
0.1432 0.1432 0.5705 K
```

Output
Electronic total energy, eV/atom: -2.581
Energy of formation, eV per atom: -0.184

***

Compound: BaHfNb2
Source: Alexandria
Functional: PBE
Structure: relaxed

Geometry as POSCAR:
```
BaHfNb2
1.0
-0.5309 -4.9659 0.9132
-2.3024 -1.5686 4.2444
-4.5925 -2.1501 -0.2493
Ba Nb Hf
1 2 1
direct
0.0000 0.0000 0.0000 Ba
0.2500 0.2500 0.2500 Nb
0.7500 0.7500 0.7500 Nb
0.5000 0.5000 0.5000 Hf
```

Output
E above lowest polymorph, meV per atom: 0
Electronic total energy, eV/atom: -7.006
Energy of formation, eV per atom: 0.998

***

Question: Number 5 is which compound?
Answer: K2BaIn9

***

Question: Which value of electronic total energy does entry 1 give?
Answer: -3.397 eV/atom

***

Please write out number 5 again, unchanged.
Compound: K2BaIn9
Source: Alexandria
Functional: PBE
Structure: relaxed

Geometry as POSCAR:
```
K2BaIn9
1.0
6.1768 0.0000 1.8383
2.8148 5.4981 1.8383
0.0700 0.0428 11.0610
Ba In K
1 9 2
direct
0.0000 0.0000 0.0000 Ba
0.3360 0.3360 0.9921 In
0.5865 0.0769 0.7500 In
0.5865 0.5865 0.7500 In
0.0769 0.5865 0.7500 In
0.4135 0.4135 0.2500 In
0.4135 0.9231 0.2500 In
0.6640 0.6640 0.0079 In
0.5000 0.5000 0.5000 In
0.9231 0.4135 0.2500 In
0.8568 0.8568 0.4295 K
0.1432 0.1432 0.5705 K
```

Output
Electronic total energy, eV/atom: -2.581
Energy of formation, eV per atom: -0.184